[1]
First-principles (PBE) data for an optimized crystal structure of ZrTl2InRh, as listed in the Alexandria database.

a = 5.2185 Å, b = 5.0330 Å, c = 5.2185 Å
α = 90.00°, β = 90.00°, γ = 90.00°
Closest atoms and distances in Å follow each position.
Sites, in units of the cell vectors:
Tl 0.5000 0.0000 0.0000  2 Rh 2.61
Rh 0.0000 0.0000 0.0000  2 Zr 2.52, 4 Tl 2.61
In 0.5000 0.5000 0.5000  8 Tl 3.63, 4 Zr 3.69
Zr 0.0000 0.5000 0.0000  2 Rh 2.52
Tl 0.0000 0.0000 0.5000  2 Rh 2.61

The formation energy from the elements is 0.17 eV/atom. As for the symmetry: P4/mmm.

---

[2]
First-principles (PBE) data for an optimized crystal structure of Na2CrRe2, as listed in the Alexandria database.

a = 3.5041 Å, b = 3.5041 Å, c = 10.2518 Å
α = 80.16°, β = 80.16°, γ = 90.00°
Closest atoms and distances in Å follow each position.
Sites, in units of the cell vectors:
Na 0.3850 0.3850 0.2300  4 Re 3.21, 4 Cr 3.37, 4 Na 3.50
Re 0.2500 0.7500 0.5000  4 Re 2.48
Re 0.7500 0.2500 0.5000  4 Re 2.48
Na 0.6150 0.6150 0.7700  4 Re 3.21, 4 Cr 3.37, 4 Na 3.50
Cr 0.0000 0.0000 0.0000  8 Na 3.37, 4 Cr 3.50

The formation energy from the elements is 1.15 eV/atom. As for the symmetry: I4/mmm.

---

One value per record, in order, for size of the total moment: 0.000; 1.009 μB/atom.